# GGA-PBE Cs2In3Pb5, optimized geometry
# **DFT formation energy**: -0.11 eV per atom
# **ρ**: 7.28 g cm⁻³
# **DFT total energy**: -2.953 eV per atom
# **Spin magnetization**: 0.0000 μB per atom
data_Cs2In3Pb5
_chemical_formula_sum 'Cs8 In12 Pb20'
_cell_length_a 13.0025
_cell_length_b 15.1794
_cell_length_c 7.6132
_cell_angle_alpha 90.00
_cell_angle_beta 90.00
_cell_angle_gamma 90.00
_symmetry_space_group_name_H-M 'I b a m'
_symmetry_Int_Tables_number 72
_symmetry_space_group_name_Hall '-I 2 2c'
loop_
_atom_site_label
_atom_site_fract_x
_atom_site_fract_y
_atom_site_fract_z
Cs1 0.2483 0.1285 0.0000
In1 0.0000 0.0000 0.2500
In2 0.1295 0.3789 0.0000
Pb1 0.0000 0.2536 0.2500
Pb2 0.0000 0.5000 0.2500
Pb3 0.1297 0.1183 0.5000